[1]
VASP calculation (PBE) on MgNbBOs after structural relaxation.

* relative energy among the computed polymorphs: 0 meV/atom
* uncorrected energy: -7.054 eV/atom
* space group: F-43m (216)
* spin magnetization: 0.00 μB/f.u.

Cell: 4.2670 4.2670 4.2670 Å, 60.00 60.00 60.00°
Last column: nearest neighbours and their distance in Å.
Element x y z (fractional)
B: 0.0000 0.0000 0.0000  4 Mg 2.61, 4 Os 2.61
Mg: 0.7500 0.7500 0.7500  4 Nb 2.61, 4 B 2.61
Nb: 0.5000 0.5000 0.5000  4 Mg 2.61, 4 Os 2.61
Os: 0.2500 0.2500 0.2500  4 Nb 2.61, 4 B 2.61


[2]
VASP calculation (PBE) on Te3AsIr3 after structural relaxation.

* uncorrected energy: -5.824 eV/atom
* space group: P2_1/m (11)
* spin magnetization: 0.00 μB/f.u.

Cell: 10.2330 3.9765 10.2407 Å, 90.00 119.51 90.00°
Last column: nearest neighbours and their distance in Å.
Element x y z (fractional)
As: 0.8355 0.2500 0.1677  6 Ir 2.58-2.59
As: 0.1645 0.7500 0.8323  6 Ir 2.58-2.59
Ir: 0.6681 0.7500 0.0147  2 As 2.59, 3 Te 2.64-2.67, 2 Ir 2.85-2.87
Ir: 0.9871 0.7500 0.1504  2 As 2.58, 3 Te 2.65-2.67, 2 Ir 2.84-2.85
Ir: 0.8519 0.7500 0.3355  2 As 2.58, 3 Te 2.63-2.67, 2 Ir 2.84-2.87
Ir: 0.1481 0.2500 0.6645  2 As 2.58, 3 Te 2.63-2.67, 2 Ir 2.84-2.87
Ir: 0.0129 0.2500 0.8496  2 As 2.58, 3 Te 2.65-2.67, 2 Ir 2.84-2.85
Ir: 0.3319 0.2500 0.9853  2 As 2.59, 3 Te 2.64-2.67, 2 Ir 2.85-2.87
Te: 0.1593 0.2500 0.1466  4 Ir 2.65-2.95
Te: 0.5091 0.7500 0.1541  3 Ir 2.64-2.67
Te: 0.1475 0.7500 0.4901  3 Ir 2.63-2.67
Te: 0.8525 0.2500 0.5099  3 Ir 2.63-2.67
Te: 0.4909 0.2500 0.8459  3 Ir 2.64-2.67
Te: 0.8407 0.7500 0.8534  4 Ir 2.65-2.95


[3]
VASP calculation (PBE) on PmLuNO after structural relaxation.

* relative energy among the computed polymorphs: 327 meV/atom
* uncorrected energy: -7.509 eV/atom
* space group: P4/nmm (129)
* spin magnetization: 0.00 μB/f.u.

Cell: 4.3494 4.3494 8.3946 Å, 90.00 90.00 90.00°
Last column: nearest neighbours and their distance in Å.
Element x y z (fractional)
Lu: 0.7500 0.2500 0.5000  4 N 2.23
Lu: 0.2500 0.7500 0.5000  4 N 2.23
N: 0.7500 0.7500 0.4407  4 Lu 2.23
N: 0.2500 0.2500 0.5593  4 Lu 2.23
O: 0.7500 0.2500 0.0000  4 Pm 2.36
O: 0.2500 0.7500 0.0000  4 Pm 2.36
Pm: 0.2500 0.2500 0.1102  4 O 2.36
Pm: 0.7500 0.7500 0.8898  4 O 2.36


[4]
VASP calculation (PBE) on LuFeNiSn after structural relaxation.

* relative energy among the computed polymorphs: 255 meV/atom
* uncorrected energy: -5.605 eV/atom
* space group: F-43m (216)
* spin magnetization: 2.70 μB/f.u.

Cell: 4.6454 4.6454 4.6454 Å, 60.00 60.00 60.00°
Last column: nearest neighbours and their distance in Å.
Element x y z (fractional)
Fe: 0.7500 0.7500 0.7500  4 Sn 2.84, 4 Ni 2.84
Lu: 0.2500 0.2500 0.2500  4 Ni 2.84, 4 Sn 2.84
Ni: 0.5000 0.5000 0.5000  4 Lu 2.84, 4 Fe 2.84
Sn: 0.0000 0.0000 0.0000  4 Fe 2.84, 4 Lu 2.84


[5]
VASP calculation (PBE) on FeSb after structural relaxation.

* uncorrected energy: -5.860 eV/atom
* space group: Pmma (51)
* spin magnetization: 1.13 μB/f.u.

Cell: 4.4945 3.1851 4.4879 Å, 90.00 90.00 90.00°
Last column: nearest neighbours and their distance in Å.
Element x y z (fractional)
Fe: 0.2500 0.0000 0.2487  8 Sb 2.75-2.76
Fe: 0.7500 0.0000 0.7513  8 Sb 2.75-2.76
Sb: 0.7500 0.5000 0.2498  8 Fe 2.75-2.76
Sb: 0.2500 0.5000 0.7502  8 Fe 2.75-2.76


[6]
VASP calculation (PBE) on SmLu2Ge4Au4 after structural relaxation.

* uncorrected energy: -4.776 eV/atom
* space group: Immm (71)
* spin magnetization: 0.01 μB/f.u.

Cell: 8.3883 8.3883 8.3883 Å, 150.32 129.93 59.29°
Last column: nearest neighbours and their distance in Å.
Element x y z (fractional)
Au: 0.6305 0.3333 0.2972  4 Ge 2.57-2.69
Au: 0.9639 0.6667 0.2972  4 Ge 2.57-2.69
Au: 0.3695 0.6667 0.7028  4 Ge 2.57-2.69
Au: 0.0361 0.3333 0.7028  4 Ge 2.57-2.69
Ge: 0.2186 0.2186 0.0000  6 Au 2.69
Ge: 0.7814 0.7814 0.0000  6 Au 2.69
Ge: 0.6808 0.5000 0.1808  1 Ge 2.57, 2 Au 2.57
Ge: 0.3192 0.5000 0.8192  1 Ge 2.57, 2 Au 2.57
Lu: 0.6254 0.1254 0.5000  6 Au 3.07-3.36, 6 Ge 3.10-3.13
Lu: 0.3746 0.8746 0.5000  6 Au 3.07-3.36, 6 Ge 3.10-3.13
Sm: 0.0000 0.0000 0.0000  6 Ge 3.12-3.19


[7]
VASP calculation (PBE) on CdFeNiGe after structural relaxation.

* relative energy among the computed polymorphs: 128 meV/atom
* uncorrected energy: -4.560 eV/atom
* space group: F-43m (216)
* spin magnetization: 2.83 μB/f.u.

Cell: 4.3768 4.3768 4.3768 Å, 60.00 60.00 60.00°
Last column: nearest neighbours and their distance in Å.
Element x y z (fractional)
Cd: 0.2500 0.2500 0.2500  4 Ni 2.68, 4 Ge 2.68
Fe: 0.7500 0.7500 0.7500  4 Ge 2.68, 4 Ni 2.68
Ge: 0.0000 0.0000 0.0000  4 Fe 2.68, 4 Cd 2.68
Ni: 0.5000 0.5000 0.5000  4 Cd 2.68, 4 Fe 2.68


[8]
VASP calculation (PBE) on SrZrBePt after structural relaxation.

* relative energy among the computed polymorphs: 298 meV/atom
* uncorrected energy: -4.729 eV/atom
* space group: F-43m (216)
* spin magnetization: 0.00 μB/f.u.

Cell: 4.7501 4.7501 4.7501 Å, 60.00 60.00 60.00°
Last column: nearest neighbours and their distance in Å.
Element x y z (fractional)
Be: 0.7500 0.7500 0.7500  4 Zr 2.91, 4 Pt 2.91
Pt: 0.5000 0.5000 0.5000  4 Be 2.91, 4 Sr 2.91
Sr: 0.2500 0.2500 0.2500  4 Pt 2.91, 4 Zr 2.91
Zr: 0.0000 0.0000 0.0000  4 Be 2.91, 4 Sr 2.91


Please write out number 4 again, unchanged.
VASP calculation (PBE) on LuFeNiSn after structural relaxation.

* relative energy among the computed polymorphs: 255 meV/atom
* uncorrected energy: -5.605 eV/atom
* space group: F-43m (216)
* spin magnetization: 2.70 μB/f.u.

Cell: 4.6454 4.6454 4.6454 Å, 60.00 60.00 60.00°
Last column: nearest neighbours and their distance in Å.
Element x y z (fractional)
Fe: 0.7500 0.7500 0.7500  4 Sn 2.84, 4 Ni 2.84
Lu: 0.2500 0.2500 0.2500  4 Ni 2.84, 4 Sn 2.84
Ni: 0.5000 0.5000 0.5000  4 Lu 2.84, 4 Fe 2.84
Sn: 0.0000 0.0000 0.0000  4 Fe 2.84, 4 Lu 2.84